No. 1
ScSi2Hg: optimized geometry, PBE.

a b c (Å): 3.1683 3.1683 26.8244
angles (deg): 90.00 90.00 120.00
Space group R-3m (No. 166, hexagonal axes)
Unique sites:
Sc (0.0000, 0.0000, 0.0000) x3
Si (0.0000, 0.0000, 0.2534) x6
Hg (0.0000, 0.0000, 0.5000) x3

Calculated values
Raw total energy, eV per formula unit: -16.6
Total magnetic moment, μB/f.u.: 0.000

No. 2
Y2SiH: optimized geometry, PBE.

a b c (Å): 5.478 5.478 12.925
angles (deg): 90.00 90.00 90.00
Space group I-42d (No. 122)
Unique sites:
Y (0.194, 0.250, 0.125) x8
Si (0.000, 0.000, 0.500) x4
H (0.000, 0.000, 0.000) x4

Calculated values
Raw total energy, eV per formula unit: -22.0
E above lowest polymorph, kJ/mol of formula units: 154
Total magnetic moment, μB/f.u.: 0.000

No. 3
Pm2ZrIn: optimized geometry, PBE.

a b c (Å): 3.411 3.411 9.727
angles (deg): 90.00 90.00 90.00
Space group P4/mmm (No. 123)
Unique sites:
Pm (0.000, 0.000, 0.247) x2
Zr (0.500, 0.500, 0.500) x1
In (0.500, 0.500, 0.000) x1

Calculated values
Raw total energy, eV per formula unit: -21.3
E above lowest polymorph, kJ/mol of formula units: 16
Total magnetic moment, μB/f.u.: 0.000

No. 4
La2AlHg: optimized geometry, PBE.

a b c (Å): 7.750 7.750 7.750
angles (deg): 90.00 90.00 90.00
Space group Fm-3m (No. 225)
Unique sites:
La (0.250, 0.250, 0.250) x8
Al (0.000, 0.000, 0.000) x4
Hg (0.000, 0.000, 0.500) x4

Calculated values
Raw total energy, eV per formula unit: -15.5
E above lowest polymorph, kJ/mol of formula units: 15
Total magnetic moment, μB/f.u.: 0.000

No. 5
Tl6Hg3Se2S: optimized geometry, PBE.

a b c (Å): 7.706 13.333 8.381
angles (deg): 90.00 107.74 90.00
Space group C2/m (No. 12)
Unique sites:
Tl (0.228, 0.161, 0.202) x8
Tl (0.246, 0.500, 0.205) x4
Hg (0.000, 0.174, 0.500) x4
Hg (0.000, 0.500, 0.500) x2
Se (0.000, 0.334, 0.000) x4
S (0.000, 0.000, 0.000) x2

Calculated values
Raw total energy, eV per formula unit: -29.3
Total magnetic moment, μB/f.u.: 0.000

No. 6
BaReW2: optimized geometry, PBE.

a b c (Å): 3.224 4.832 4.929
angles (deg): 90.00 90.00 90.00
Space group Pmmm (No. 47)
Unique sites:
Ba (0.000, 0.000, 0.000) x1
Re (0.500, 0.000, 0.500) x1
W (0.000, 0.500, 0.500) x1
W (0.500, 0.500, 0.000) x1

Calculated values
Raw total energy, eV per formula unit: -33.7
E above lowest polymorph, kJ/mol of formula units: 308
Total magnetic moment, μB/f.u.: 0.000

No. 7
Nd4Al3Ag: optimized geometry, PBE.

a b c (Å): 3.743 4.648 12.242
angles (deg): 90.00 90.00 90.00
Space group Pmm2 (No. 25)
Unique sites:
Nd (0.000, 0.000, 0.000) x1
Nd (0.000, 0.500, 0.306) x1
Nd (0.500, 0.000, 0.500) x1
Nd (0.500, 0.500, 0.809) x1
Al (0.000, 0.000, 0.719) x1
Al (0.000, 0.500, 0.590) x1
Al (0.500, 0.500, 0.089) x1
Ag (0.500, 0.000, 0.218) x1

Calculated values
Raw total energy, eV per formula unit: -35.6
E above lowest polymorph, kJ/mol of formula units: 17
Total magnetic moment, μB/f.u.: 0.000

No. 8
Cd2Ag5Hg2: optimized geometry, PBE.

a b c (Å): 14.374 7.505 7.230
angles (deg): 90.00 90.00 90.00
Space group Ima2 (No. 46)
Unique sites:
Cd (0.135, 0.030, 0.000) x8
Ag (0.050, 0.165, 0.327) x8
Ag (0.147, 0.674, 0.839) x8
Ag (0.250, 0.174, 0.312) x4
Hg (0.000, 0.000, 0.671) x4
Hg (0.250, 0.536, 0.154) x4

Calculated values
Raw total energy, eV per formula unit: -15.8
E above lowest polymorph, kJ/mol of formula units: 64
Total magnetic moment, μB/f.u.: 0.000

No. 9
Rb2SnPbCl6: optimized geometry, PBE.

a b c (Å): 7.669 8.034 13.429
angles (deg): 90.00 124.70 90.00
Space group P2_1/c (No. 14)
Unique sites:
Rb (0.228, 0.066, 0.250) x4
Sn (0.000, 0.000, 0.500) x2
Pb (0.500, 0.000, 0.000) x2
Cl (0.146, 0.206, 0.949) x4
Cl (0.247, 0.701, 0.949) x4
Cl (0.346, 0.030, 0.747) x4

Calculated values
Raw total energy, eV per formula unit: -35.4
E above lowest polymorph, kJ/mol of formula units: 0
Total magnetic moment, μB/f.u.: 0.000

No. 10
CaLa2Al: optimized geometry, PBE.

a b c (Å): 5.015 5.015 9.763
angles (deg): 90.00 90.00 90.00
Space group I4/mmm (No. 139)
Unique sites:
Ca (0.000, 0.000, 0.000) x2
La (0.000, 0.500, 0.250) x4
Al (0.000, 0.000, 0.500) x2

Calculated values
Raw total energy, eV per formula unit: -16.0
Total magnetic moment, μB/f.u.: 0.002

No. 11
BaCuSi3: optimized geometry, PBE.

a b c (Å): 5.835 6.332 5.935
angles (deg): 90.00 90.00 90.00
Space group Pmn2_1 (No. 31)
Unique sites:
Ba (0.000, 0.138, 0.000) x2
Cu (0.000, 0.631, 0.709) x2
Si (0.000, 0.650, 0.311) x2
Si (0.211, 0.351, 0.496) x4

Calculated values
Raw total energy, eV per formula unit: -23.0
Total magnetic moment, μB/f.u.: 0.000

No. 12
SrCuH6O5: optimized geometry, PBE.

a b c (Å): 5.447 6.268 8.026
angles (deg): 90.00 107.89 90.00
Space group P2/c (No. 13)
Unique sites:
Sr (0.000, 0.048, 0.250) x2
Cu (0.000, 0.500, 0.000) x2
H (0.340, 0.233, 0.030) x4
H (0.371, 0.451, 0.398) x4
H (0.433, 0.212, 0.646) x4
O (0.153, 0.220, 0.003) x4
O (0.284, 0.344, 0.448) x4
O (0.500, 0.117, 0.750) x2

Calculated values
Raw total energy, eV per formula unit: -67.3
Total magnetic moment, μB/f.u.: 1.000